Li2Ca5Tl: optimized geometry, GGA-PBE.

a = 5.508 Å, b = 7.067 Å, c = 13.702 Å
α = 90.00°, β = 90.00°, γ = 90.00°
Fractional coordinates of all 16 atoms:
Li  0.500  0.352  0.366
Li  0.500  0.648  0.634
Li  0.500  0.148  0.866
Li  0.500  0.852  0.134
Ca  0.500  0.335  0.105
Ca  0.500  0.665  0.895
Ca  0.500  0.835  0.395
Ca  0.500  0.165  0.605
Ca  0.000  0.866  0.724
Ca  0.000  0.134  0.276
Ca  0.000  0.366  0.776
Ca  0.000  0.634  0.224
Ca  0.000  0.500  0.500
Ca  0.000  0.000  0.000
Tl  0.000  0.000  0.500
Tl  0.000  0.500  0.000

Output
E_tot, eV per atom: -2.127
D(E_F), states/eV per cell: 15.30
E_form, meV/atom: -101
Space group: No. 55
Total magnetization, μB per atom: 0.000